1.
BaCoRh2, relaxed, DFT PBE; formation enthalpy at 0 K = 0.669 eV per atom; spin magnetization = 2.9 μB per formula unit
1.0
4.3431 0.0000 0.0000
0.0000 4.3431 0.0000
0.0000 0.0000 4.0503
Ba Co Rh
1 1 2
Cartesian
0.0000 0.0000 0.0000
2.1715 2.1715 0.0000
0.0000 2.1715 2.0252
2.1715 0.0000 2.0252

***

2.
BaCo2Rh, relaxed, DFT PBE; formation enthalpy at 0 K = 0.463 eV per atom; spin magnetization = 3.9 μB per formula unit
1.0
3.1362 0.0000 0.0000
0.0000 3.1362 0.0000
0.0000 0.0000 7.4864
Ba Co Rh
1 2 1
Cartesian
0.0000 0.0000 0.0000
0.0000 0.0000 3.6051
1.5681 1.5681 2.5683
1.5681 1.5681 5.0588

***

3.
BaCoRh2, relaxed, DFT PBE; formation enthalpy at 0 K = 0.582 eV per atom; spin magnetization = 2.7 μB per formula unit
1.0
-1.5423 2.5542 4.9661
1.5423 -2.5542 4.9661
1.5423 2.5542 -4.9661
Ba Co Rh
1 1 2
Cartesian
0.0000 0.0000 0.0000
1.5423 0.0000 2.8375
0.0000 0.0000 4.8158
0.0000 2.5542 2.1294